# 1
Computed, not measured: a relaxed LaHPb crystal at the PBE level of DFT.

Cell and atoms, written as POSCAR:
```
LaHPb
1.0
6.6222 0.0000 0.0000
0.0000 3.8243 0.0000
-0.0145 0.0000 11.6514
La H Pb
4 4 4
direct
0.1667 0.0000 0.3609
0.3333 0.5000 0.6391
0.6667 0.5000 0.3609
0.8333 0.0000 0.6391
0.1666 0.0000 0.5658
0.3334 0.5000 0.4342
0.6666 0.5000 0.5658
0.8334 0.0000 0.4342
0.0014 0.5000 0.8702
0.4986 0.0000 0.1298
0.5014 0.0000 0.8702
0.9986 0.5000 0.1298
```

Its offset from the most stable computed form is 171 meV/atom. The value obtained for the density of states at the Fermi level is 0.5371 states/eV per atom.

---

# 2
Computed, not measured: a relaxed La3HPb2 crystal at the PBE level of DFT.

Cell and atoms, written as POSCAR:
```
La3HPb2
1.0
6.1145 -3.3358 0.0000
6.1145 3.3358 0.0000
-2.4092 0.0000 8.7984
La H Pb
6 2 4
direct
0.1522 0.8478 0.7500
0.2324 0.4784 0.3457
0.4784 0.2324 0.8457
0.5216 0.7676 0.1543
0.7676 0.5216 0.6543
0.8478 0.1522 0.2500
0.4958 0.5042 0.7500
0.5042 0.4958 0.2500
0.0186 0.2748 0.0067
0.2748 0.0186 0.5067
0.7252 0.9814 0.4933
0.9814 0.7252 0.9933
```

The value obtained for the density of states at the Fermi level is 0.7083 states/eV per atom.

---

# 3
Computed, not measured: a relaxed LaHPb crystal at the PBE level of DFT.

Cell and atoms, written as POSCAR:
```
LaHPb
1.0
5.3218 0.0000 0.0000
0.0000 8.1733 0.0000
-0.0033 0.0000 6.7493
La H Pb
4 4 4
direct
0.0006 0.1121 0.2440
0.0006 0.3879 0.7440
0.9994 0.6121 0.2560
0.9994 0.8879 0.7560
0.0010 0.1346 0.5812
0.0010 0.3654 0.0812
0.9990 0.6346 0.9188
0.9990 0.8654 0.4188
0.5004 0.1777 0.9174
0.5004 0.3223 0.4174
0.4996 0.6777 0.5826
0.4996 0.8223 0.0826
```

Its offset from the most stable computed form is 16 meV/atom. The value obtained for the density of states at the Fermi level is 0.1251 states/eV per atom.

---

# 4
Computed, not measured: a relaxed LaH3Pb crystal at the PBE level of DFT.

Cell and atoms, written as POSCAR:
```
LaH3Pb
1.0
4.4281 0.0000 0.0000
0.0000 4.4281 0.0000
0.0000 0.0000 4.4281
La H Pb
1 3 1
direct
0.0000 0.0000 0.0000
0.0000 0.0000 0.5000
0.0000 0.5000 0.0000
0.5000 0.0000 0.0000
0.5000 0.5000 0.5000
```

Its offset from the most stable computed form is 0 meV/atom. The value obtained for the density of states at the Fermi level is 0.4863 states/eV per atom.

---

# 5
Computed, not measured: a relaxed LaHPb3 crystal at the PBE level of DFT.

Cell and atoms, written as POSCAR:
```
LaHPb3
1.0
6.2278 0.0000 0.0000
0.0000 6.2278 0.0000
0.0000 0.0000 6.2278
La H Pb
1 1 3
direct
0.0000 0.0000 0.0000
0.5000 0.5000 0.5000
0.0000 0.0000 0.5000
0.0000 0.5000 0.0000
0.5000 0.0000 0.0000
```

Its offset from the most stable computed form is 1192 meV/atom. The value obtained for the density of states at the Fermi level is 0.8963 states/eV per atom.

---

# 6
Computed, not measured: a relaxed LaH6Pd2Pb crystal at the PBE level of DFT.

Cell and atoms, written as POSCAR:
```
LaH6Pd2Pb
1.0
4.3109 -5.9957 0.0000
4.3109 5.9957 0.0000
-0.6261 0.0000 4.5988
La H Pd Pb
2 12 4 2
direct
0.1683 0.8317 0.7500
0.8317 0.1683 0.2500
0.0657 0.6872 0.2071
0.1363 0.1451 0.9988
0.1451 0.1363 0.4988
0.1707 0.5112 0.5798
0.3128 0.9343 0.2929
0.4888 0.8293 0.9202
0.5112 0.1707 0.0798
0.6872 0.0657 0.7071
0.8293 0.4888 0.4202
0.8549 0.8637 0.5012
0.8637 0.8549 0.0012
0.9343 0.3128 0.7929
0.1671 0.3303 0.7799
0.3303 0.1671 0.2799
0.6697 0.8329 0.7201
0.8329 0.6697 0.2201
0.3987 0.6013 0.2500
0.6013 0.3987 0.7500
```

The value obtained for the density of states at the Fermi level is 0.1944 states/eV per atom.

---

# 7
Computed, not measured: a relaxed La2HPdPb crystal at the PBE level of DFT.

Cell and atoms, written as POSCAR:
```
La2HPdPb
1.0
5.1974 0.0000 0.0000
0.0000 5.1974 0.0000
0.0000 0.0000 4.2575
La H Pd Pb
2 1 1 1
direct
0.0000 0.5000 0.0000
0.5000 0.0000 0.0000
0.0000 0.0000 0.0000
0.0000 0.0000 0.5000
0.5000 0.5000 0.5000
```

The value obtained for the density of states at the Fermi level is 0.8561 states/eV per atom.

---

# 8
Computed, not measured: a relaxed La2Pm4H2Pb3 crystal at the PBE level of DFT.

Cell and atoms, written as POSCAR:
```
La2Pm4H2Pb3
1.0
-2.4359 2.4359 13.0992
2.4359 -2.4359 13.0992
2.4359 2.4359 -13.0992
La Pm H Pb
2 4 2 3
direct
0.1983 0.1983 0.0000
0.8017 0.8017 0.0000
0.0822 0.5822 0.5000
0.4178 0.9178 0.5000
0.5822 0.0822 0.5000
0.9178 0.4178 0.5000
0.1006 0.1006 0.0000
0.8994 0.8994 0.0000
0.3269 0.3269 0.0000
0.5000 0.5000 0.0000
0.6731 0.6731 0.0000
```

The value obtained for the density of states at the Fermi level is 1.0672 states/eV per atom.

---

# 9
Computed, not measured: a relaxed La4Pm2H2Pb3 crystal at the PBE level of DFT.

Cell and atoms, written as POSCAR:
```
La4Pm2H2Pb3
1.0
-2.4356 2.4356 13.3303
2.4356 -2.4356 13.3303
2.4356 2.4356 -13.3303
La Pm H Pb
4 2 2 3
direct
0.0847 0.5847 0.5000
0.4153 0.9153 0.5000
0.5847 0.0847 0.5000
0.9153 0.4153 0.5000
0.2012 0.2012 0.0000
0.7988 0.7988 0.0000
0.1088 0.1088 0.0000
0.8912 0.8912 0.0000
0.3226 0.3226 0.0000
0.5000 0.5000 0.0000
0.6774 0.6774 0.0000
```

The value obtained for the density of states at the Fermi level is 1.0869 states/eV per atom.

---

# 10
Computed, not measured: a relaxed La2Pr4H2Pb3 crystal at the PBE level of DFT.

Cell and atoms, written as POSCAR:
```
La2Pr4H2Pb3
1.0
-2.4591 2.4591 13.2693
2.4591 -2.4591 13.2693
2.4591 2.4591 -13.2693
La Pr H Pb
2 4 2 3
direct
0.1989 0.1989 0.0000
0.8011 0.8011 0.0000
0.0827 0.5827 0.5000
0.4173 0.9173 0.5000
0.5827 0.0827 0.5000
0.9173 0.4173 0.5000
0.1027 0.1027 0.0000
0.8973 0.8973 0.0000
0.3256 0.3256 0.0000
0.5000 0.5000 0.0000
0.6744 0.6744 0.0000
```

The value obtained for the density of states at the Fermi level is 1.0862 states/eV per atom.

---

# 11
Computed, not measured: a relaxed LaH6Pt2Pb crystal at the PBE level of DFT.

Cell and atoms, written as POSCAR:
```
LaH6Pt2Pb
1.0
4.8159 -4.5372 0.0000
4.8159 4.5372 0.0000
-3.1538 0.0000 6.0623
La H Pt Pb
2 12 4 2
direct
0.1430 0.8570 0.7500
0.8570 0.1430 0.2500
0.0933 0.1992 0.0439
0.0939 0.7203 0.3242
0.1394 0.5635 0.8953
0.1992 0.0933 0.5439
0.2797 0.9061 0.1758
0.4365 0.8606 0.6047
0.5635 0.1394 0.3953
0.7203 0.0939 0.8242
0.8008 0.9067 0.4561
0.8606 0.4365 0.1047
0.9061 0.2797 0.6758
0.9067 0.8008 0.9561
0.1650 0.3280 0.7188
0.3280 0.1650 0.2188
0.6720 0.8350 0.7812
0.8350 0.6720 0.2812
0.4141 0.5859 0.2500
0.5859 0.4141 0.7500
```

The value obtained for the density of states at the Fermi level is 0.2714 states/eV per atom.

---

# 12
Computed, not measured: a relaxed La2HRhPb crystal at the PBE level of DFT.

Cell and atoms, written as POSCAR:
```
La2HRhPb
1.0
5.2738 0.0000 0.0000
0.0000 5.2738 0.0000
0.0000 0.0000 4.0449
La H Rh Pb
2 1 1 1
direct
0.0000 0.5000 0.0000
0.5000 0.0000 0.0000
0.0000 0.0000 0.0000
0.0000 0.0000 0.5000
0.5000 0.5000 0.5000
```

The value obtained for the density of states at the Fermi level is 0.6630 states/eV per atom.

---

# 13
Computed, not measured: a relaxed LaH6Rh3Pb crystal at the PBE level of DFT.

Cell and atoms, written as POSCAR:
```
LaH6Rh3Pb
1.0
3.7096 2.1417 2.7963
-3.7096 2.1417 2.7963
0.0000 -4.2834 2.7963
La H Rh Pb
1 6 3 1
direct
0.0000 0.0000 0.0000
0.0764 0.4768 0.2336
0.0806 0.4761 0.8798
0.2336 0.0764 0.4768
0.4761 0.8798 0.0806
0.4768 0.2336 0.0764
0.8798 0.0806 0.4761
0.0780 0.3683 0.5498
0.3683 0.5498 0.0780
0.5498 0.0780 0.3683
0.5896 0.5896 0.5896
```

The value obtained for the density of states at the Fermi level is 0.3580 states/eV per atom.

---

# 14
Computed, not measured: a relaxed LaH6RuPb crystal at the PBE level of DFT.

Cell and atoms, written as POSCAR:
```
LaH6RuPb
1.0
4.6090 0.0000 0.0000
0.0247 5.0201 0.0000
0.0296 2.5074 4.3514
La H Ru Pb
1 6 1 1
direct
0.0000 0.0000 0.0000
0.0307 0.5203 0.5201
0.0342 0.9615 0.5190
0.0346 0.5197 0.9604
0.4849 0.3183 0.8382
0.4858 0.8394 0.3168
0.4879 0.8389 0.8367
0.2760 0.6661 0.6647
0.5085 0.3332 0.3335
```

The value obtained for the density of states at the Fermi level is 0.3624 states/eV per atom.

---

# 15
Computed, not measured: a relaxed La2HRuPb crystal at the PBE level of DFT.

Cell and atoms, written as POSCAR:
```
La2HRuPb
1.0
5.2600 0.0000 0.0000
0.0000 5.2600 0.0000
0.0000 0.0000 3.9963
La H Ru Pb
2 1 1 1
direct
0.0000 0.5000 0.0000
0.5000 0.0000 0.0000
0.0000 0.0000 0.0000
0.0000 0.0000 0.5000
0.5000 0.5000 0.5000
```

The value obtained for the density of states at the Fermi level is 0.5399 states/eV per atom.

---

# 16
Computed, not measured: a relaxed LaSb2HPb crystal at the PBE level of DFT.

Cell and atoms, written as POSCAR:
```
LaSb2HPb
1.0
6.0931 0.0000 0.0000
0.0000 6.0931 0.0000
0.0000 0.0000 6.3180
La Sb H Pb
1 2 1 1
direct
0.0000 0.0000 0.0000
0.0000 0.5000 0.0000
0.5000 0.0000 0.0000
0.5000 0.5000 0.5000
0.0000 0.0000 0.5000
```

The value obtained for the density of states at the Fermi level is 0.6693 states/eV per atom.

---

# 17
Computed, not measured: a relaxed La2ScHPb crystal at the PBE level of DFT.

Cell and atoms, written as POSCAR:
```
La2ScHPb
1.0
4.9420 0.0000 0.0000
0.0000 4.9420 0.0000
0.0000 0.0000 4.9229
La Sc H Pb
2 1 1 1
direct
0.0000 0.5000 0.0000
0.5000 0.0000 0.0000
0.0000 0.0000 0.5000
0.0000 0.0000 0.0000
0.5000 0.5000 0.5000
```

The value obtained for the density of states at the Fermi level is 1.2544 states/eV per atom.

---

# 18
Computed, not measured: a relaxed La2Sc2HPb2 crystal at the PBE level of DFT.

Cell and atoms, written as POSCAR:
```
La2Sc2HPb2
1.0
4.5800 0.0000 0.0000
0.0000 4.5800 0.0000
0.0000 0.0000 17.1144
La Sc H Pb
4 4 2 4
direct
0.0000 0.0000 0.1753
0.0000 0.0000 0.8247
0.5000 0.5000 0.3247
0.5000 0.5000 0.6753
0.0000 0.5000 0.0000
0.0000 0.5000 0.5000
0.5000 0.0000 0.0000
0.5000 0.0000 0.5000
0.0000 0.0000 0.0000
0.5000 0.5000 0.5000
0.0000 0.0000 0.3764
0.0000 0.0000 0.6236
0.5000 0.5000 0.1236
0.5000 0.5000 0.8764
```

The value obtained for the density of states at the Fermi level is 0.7066 states/eV per atom.

---

# 19
Computed, not measured: a relaxed La2Sm2HPb2 crystal at the PBE level of DFT.

Cell and atoms, written as POSCAR:
```
La2Sm2HPb2
1.0
4.7547 0.0000 0.0000
0.0000 4.7547 0.0000
0.0000 0.0000 17.8925
La Sm H Pb
4 4 2 4
direct
0.0000 0.0000 0.1790
0.0000 0.0000 0.8210
0.5000 0.5000 0.3210
0.5000 0.5000 0.6790
0.0000 0.5000 0.0000
0.0000 0.5000 0.5000
0.5000 0.0000 0.0000
0.5000 0.0000 0.5000
0.0000 0.0000 0.0000
0.5000 0.5000 0.5000
0.0000 0.0000 0.3677
0.0000 0.0000 0.6323
0.5000 0.5000 0.1323
0.5000 0.5000 0.8677
```

The value obtained for the density of states at the Fermi level is 1.0056 states/eV per atom.

---

# 20
Computed, not measured: a relaxed La2Sm4H2Pb3 crystal at the PBE level of DFT.

Cell and atoms, written as POSCAR:
```
La2Sm4H2Pb3
1.0
-2.4295 2.4295 13.0313
2.4295 -2.4295 13.0313
2.4295 2.4295 -13.0313
La Sm H Pb
2 4 2 3
direct
0.1979 0.1979 0.0000
0.8021 0.8021 0.0000
0.0819 0.5819 0.5000
0.4181 0.9181 0.5000
0.5819 0.0819 0.5000
0.9181 0.4181 0.5000
0.0996 0.0996 0.0000
0.9004 0.9004 0.0000
0.3273 0.3273 0.0000
0.5000 0.5000 0.0000
0.6727 0.6727 0.0000
```

The value obtained for the density of states at the Fermi level is 1.0585 states/eV per atom.

---

# 21
Computed, not measured: a relaxed La4Sm2H2Pb3 crystal at the PBE level of DFT.

Cell and atoms, written as POSCAR:
```
La4Sm2H2Pb3
1.0
-2.4309 2.4309 13.3090
2.4309 -2.4309 13.3090
2.4309 2.4309 -13.3090
La Sm H Pb
4 2 2 3
direct
0.0849 0.5849 0.5000
0.4151 0.9151 0.5000
0.5849 0.0849 0.5000
0.9151 0.4151 0.5000
0.2011 0.2011 0.0000
0.7989 0.7989 0.0000
0.1094 0.1094 0.0000
0.8906 0.8906 0.0000
0.3221 0.3221 0.0000
0.5000 0.5000 0.0000
0.6779 0.6779 0.0000
```

The value obtained for the density of states at the Fermi level is 1.0654 states/eV per atom.

---

# 22
Computed, not measured: a relaxed La4SnHPb crystal at the PBE level of DFT.

Cell and atoms, written as POSCAR:
```
La4SnHPb
1.0
3.3711 -9.1297 0.0000
3.3711 9.1297 0.0000
0.0000 0.0000 6.7402
La Sn H Pb
8 2 2 2
direct
0.0000 0.5000 0.0000
0.0000 0.5000 0.5000
0.0687 0.9313 0.7500
0.4290 0.5710 0.7500
0.5000 0.0000 0.0000
0.5000 0.0000 0.5000
0.5710 0.4290 0.2500
0.9313 0.0687 0.2500
0.1150 0.8850 0.2500
0.8850 0.1150 0.7500
0.2055 0.7945 0.7500
0.7945 0.2055 0.2500
0.3873 0.6127 0.2500
0.6127 0.3873 0.7500
```

The value obtained for the density of states at the Fermi level is 1.0424 states/eV per atom.

---

# 23
Computed, not measured: a relaxed SrLa2HPb crystal at the PBE level of DFT.

Cell and atoms, written as POSCAR:
```
SrLa2HPb
1.0
5.0689 0.0000 0.0000
0.0000 5.0689 0.0000
0.0000 0.0000 5.4017
Sr La H Pb
1 2 1 1
direct
0.0000 0.0000 0.0000
0.0000 0.5000 0.5000
0.5000 0.0000 0.5000
0.0000 0.0000 0.5000
0.5000 0.5000 0.0000
```

Its offset from the most stable computed form is 0 meV/atom. The value obtained for the density of states at the Fermi level is 1.1154 states/eV per atom.

---

Number 1: volume 295.1 Å³ per cell, total energy -4.35 eV per atom. Number 2: volume 358.9 Å³ per cell, total energy -4.78 eV per atom. Number 3: volume 293.6 Å³ per cell, total energy -4.50 eV per atom. Number 4: volume 86.8 Å³ per cell, total energy -3.77 eV per atom. Number 5: volume 241.6 Å³ per cell, total energy -2.89 eV per atom. Number 6: volume 237.7 Å³ per cell, total energy -4.18 eV per atom. Number 7: volume 115.0 Å³ per cell, total energy -4.98 eV per atom. Number 8: volume 310.9 Å³ per cell, total energy -4.72 eV per atom. Number 9: volume 316.3 Å³ per cell, total energy -4.73 eV per atom. Number 10: volume 321.0 Å³ per cell, total energy -4.72 eV per atom. Number 11: volume 264.9 Å³ per cell, total energy -4.36 eV per atom. Number 12: volume 112.5 Å³ per cell, total energy -5.36 eV per atom. Number 13: volume 133.3 Å³ per cell, total energy -4.90 eV per atom. Number 14: volume 100.7 Å³ per cell, total energy -4.44 eV per atom. Number 15: volume 110.6 Å³ per cell, total energy -5.55 eV per atom. Number 16: volume 234.6 Å³ per cell, total energy -3.18 eV per atom. Number 17: volume 120.2 Å³ per cell, total energy -5.04 eV per atom. Number 18: volume 359.0 Å³ per cell, total energy -5.31 eV per atom. Number 19: volume 404.5 Å³ per cell, total energy -4.82 eV per atom. Number 20: volume 307.7 Å³ per cell, total energy -4.71 eV per atom. Number 21: volume 314.6 Å³ per cell, total energy -4.71 eV per atom. Number 22: volume 414.9 Å³ per cell, total energy -5.01 eV per atom. Number 23: volume 138.8 Å³ per cell, total energy -4.09 eV per atom.